Entry 1:
Pr4Dy3Y8 | GGA-PBE | relaxed Values from VASP.

The structure in Quantum ESPRESSO input format:
```
&SYSTEM
  ibrav = 0, nat = 15, ntyp = 3
/
ATOMIC_SPECIES
Pr 140.91 Pr.upf
Dy 162.50 Dy.upf
Y 88.91 Y.upf
ATOMIC_POSITIONS crystal
Pr 0.0000 0.0000 0.0000
Pr 0.3362 0.3362 0.9913
Pr 0.5000 0.5000 0.5000
Pr 0.6638 0.6638 0.0087
Dy 0.5000 0.0000 0.5000
Dy 0.0000 0.0000 0.5000
Dy 0.0000 0.5000 0.5000
Y 0.2448 0.2448 0.2657
Y 0.2474 0.7498 0.2531
Y 0.7498 0.7498 0.2531
Y 0.7498 0.2474 0.2531
Y 0.7552 0.7552 0.7343
Y 0.7526 0.2502 0.7469
Y 0.2502 0.2502 0.7469
Y 0.2502 0.7526 0.7469
CELL_PARAMETERS angstrom
6.1799 0.0000 3.3330
2.1912 5.7784 3.3330
-2.5819 -1.7822 12.1832
```

symmetry: R-3m (166)
energy above the most stable polymorph in this dataset: 0.000 eV per atom
N(E_F): 23.35 states/eV/cell
formation energy from the elements: 0.120 eV per atom



Entry 2:
BeTePb2 | GGA-PBE | relaxed Values from VASP.

The structure in Quantum ESPRESSO input format:
```
&SYSTEM
  ibrav = 0, nat = 4, ntyp = 3
/
ATOMIC_SPECIES
Pb 207.20 Pb.upf
Be 9.01 Be.upf
Te 127.60 Te.upf
ATOMIC_POSITIONS crystal
Pb 0.2500 0.2500 0.2500
Pb 0.7500 0.7500 0.7500
Be 0.0000 0.0000 0.0000
Te 0.5000 0.5000 0.5000
CELL_PARAMETERS angstrom
0.0000 3.8108 3.8108
3.8108 0.0000 3.8108
3.8108 3.8108 0.0000
```

uncorrected formation energy: 12.25 kcal/mol of atoms
symmetry: Fm-3m (225)
energy above the most stable polymorph in this dataset: 0.378 eV per atom
N(E_F): 2.77 states/eV/cell



Entry 3:
Ce9Pu2Cd3 | GGA-PBE | relaxed Values from VASP.

The structure in Quantum ESPRESSO input format:
```
&SYSTEM
  ibrav = 0, nat = 28, ntyp = 3
/
ATOMIC_SPECIES
Ce 140.12 Ce.upf
Pu 244.00 Pu.upf
Cd 112.41 Cd.upf
ATOMIC_POSITIONS crystal
Ce 0.7499 0.9245 0.0919
Ce 0.0755 0.9081 0.2501
Ce 0.2500 0.4075 0.0925
Ce 0.5755 0.7501 0.4081
Ce 0.5925 0.9075 0.7500
Ce 0.9075 0.7500 0.5925
Ce 0.2499 0.5919 0.4245
Ce 0.5919 0.4245 0.2499
Ce 0.9081 0.2501 0.0755
Ce 0.0919 0.7499 0.9245
Ce 0.4081 0.5755 0.7501
Ce 0.4075 0.0925 0.2500
Ce 0.7501 0.4081 0.5755
Ce 0.0925 0.2500 0.4075
Ce 0.4245 0.2499 0.5919
Ce 0.7500 0.5925 0.9075
Ce 0.9245 0.0919 0.7499
Ce 0.2501 0.0755 0.9081
Pu 0.1487 0.1487 0.1487
Pu 0.6487 0.6487 0.6487
Pu 0.8513 0.8513 0.8513
Pu 0.3513 0.3513 0.3513
Cd 0.4180 0.7500 0.0820
Cd 0.2500 0.9180 0.5820
Cd 0.9180 0.5820 0.2500
Cd 0.0820 0.4180 0.7500
Cd 0.7500 0.0820 0.4180
Cd 0.5820 0.2500 0.9180
CELL_PARAMETERS angstrom
-0.1137 -1.8187 8.8725
-7.3991 -5.1789 -0.6894
4.8442 -7.5845 -1.0257
```

symmetry: R-3c (167)
N(E_F): 55.14 states/eV/cell
formation energy from the elements: -0.100 eV per atom



Entry 4:
ReGeP2O | GGA-PBE | relaxed Values from VASP.

The structure in Quantum ESPRESSO input format:
```
&SYSTEM
  ibrav = 0, nat = 5, ntyp = 4
/
ATOMIC_SPECIES
Re 186.21 Re.upf
Ge 72.64 Ge.upf
O 16.00 O.upf
P 30.97 P.upf
ATOMIC_POSITIONS crystal
Re 0.0000 0.0000 0.0000
Ge 0.5000 0.5000 0.5000
O 0.0000 0.0000 0.5000
P 0.0000 0.5000 0.0000
P 0.5000 0.0000 0.0000
CELL_PARAMETERS angstrom
4.8030 0.0000 0.0000
0.0000 4.8030 0.0000
0.0000 0.0000 3.7241
```

uncorrected formation energy: -0.17 kcal/mol of atoms
symmetry: P4/mmm (123)
energy above the most stable polymorph in this dataset: 0.000 eV per atom
N(E_F): 2.79 states/eV/cell



Entry 5:
RbNbGe2Cl | GGA-PBE | relaxed Values from VASP.

The structure in Quantum ESPRESSO input format:
```
&SYSTEM
  ibrav = 0, nat = 5, ntyp = 4
/
ATOMIC_SPECIES
Nb 92.91 Nb.upf
Ge 72.64 Ge.upf
Rb 85.47 Rb.upf
Cl 35.45 Cl.upf
ATOMIC_POSITIONS crystal
Nb 0.0000 0.0000 0.0000
Ge 0.0000 0.0000 0.5000
Ge 0.5000 0.0000 0.0000
Rb 0.5000 0.5000 0.5000
Cl 0.0000 0.5000 0.0000
CELL_PARAMETERS angstrom
5.0483 0.0000 0.0000
0.0000 5.5255 0.0000
0.0000 0.0000 5.0483
```

uncorrected formation energy: -4.43 kcal/mol of atoms
symmetry: P4/mmm (123)
energy above the most stable polymorph in this dataset: 0.000 eV per atom
N(E_F): 5.11 states/eV/cell



Entry 6:
Sm4Tm3PuSe8 | GGA-PBE | relaxed Values from VASP.

The structure in Quantum ESPRESSO input format:
```
&SYSTEM
  ibrav = 0, nat = 16, ntyp = 4
/
ATOMIC_SPECIES
Sm 150.36 Sm.upf
Tm 168.93 Tm.upf
Pu 244.00 Pu.upf
Se 78.96 Se.upf
ATOMIC_POSITIONS crystal
Sm 0.5000 0.0000 0.0000
Sm 0.5000 0.0000 0.5000
Sm 0.0000 0.0000 0.0000
Sm 0.0000 0.0000 0.5000
Tm 0.5000 0.5000 0.0000
Tm 0.5000 0.5000 0.5000
Tm 0.0000 0.5000 0.5000
Pu 0.0000 0.5000 0.0000
Se 0.2487 0.7390 0.9903
Se 0.2487 0.7390 0.4975
Se 0.2549 0.2648 0.5099
Se 0.7416 0.7390 0.9903
Se 0.2584 0.2610 0.0097
Se 0.7451 0.7352 0.4901
Se 0.7513 0.2610 0.5025
Se 0.7513 0.2610 0.0097
CELL_PARAMETERS angstrom
8.1879 -0.0001 0.0001
-0.0001 8.2551 0.0417
-4.0938 -4.0895 5.7927
```

uncorrected formation energy: -40.01 kcal/mol of atoms
symmetry: R-3m (166)
N(E_F): 13.85 states/eV/cell



Entry 7:
Li2MoRh | GGA-PBE | relaxed Values from VASP.

The structure in Quantum ESPRESSO input format:
```
&SYSTEM
  ibrav = 0, nat = 4, ntyp = 3
/
ATOMIC_SPECIES
Li 6.94 Li.upf
Mo 95.94 Mo.upf
Rh 102.91 Rh.upf
ATOMIC_POSITIONS crystal
Li 0.0000 0.9222 0.0227
Li 0.5000 0.2312 0.2121
Mo 0.0000 0.4723 0.5462
Rh 0.5000 0.8744 0.7190
CELL_PARAMETERS angstrom
4.1318 0.0000 0.0000
0.0000 2.6959 -0.0027
0.0000 1.0610 5.3195
```

symmetry: Pm (6)
energy above the most stable polymorph in this dataset: 0.061 eV per atom
N(E_F): 3.04 states/eV/cell
formation energy from the elements: 0.101 eV per atom



Entry 8:
LaGdErSc | GGA-PBE | relaxed Values from VASP.

The structure in Quantum ESPRESSO input format:
```
&SYSTEM
  ibrav = 0, nat = 4, ntyp = 4
/
ATOMIC_SPECIES
Sc 44.96 Sc.upf
Gd 157.25 Gd.upf
La 138.91 La.upf
Er 167.26 Er.upf
ATOMIC_POSITIONS crystal
Sc 0.2500 0.2500 0.2500
Gd 0.0000 0.0000 0.0000
La 0.5000 0.5000 0.5000
Er 0.7500 0.7500 0.7500
CELL_PARAMETERS angstrom
5.6119 0.0000 0.0000
2.8060 4.8601 0.0000
2.8060 1.6200 4.5821
```

symmetry: F-43m (216)
N(E_F): 6.20 states/eV/cell
formation energy from the elements: 0.086 eV per atom



Entry 9:
FeRe2Au | GGA-PBE | relaxed Values from VASP.

The structure in Quantum ESPRESSO input format:
```
&SYSTEM
  ibrav = 0, nat = 4, ntyp = 3
/
ATOMIC_SPECIES
Au 196.97 Au.upf
Fe 55.84 Fe.upf
Re 186.21 Re.upf
ATOMIC_POSITIONS crystal
Au 0.5000 0.5001 0.0000
Fe 0.7500 0.2500 0.5000
Re 0.0000 0.9999 0.0000
Re 0.2500 0.7500 0.5000
CELL_PARAMETERS angstrom
-3.6910 0.0321 2.9614
-3.3601 -2.8187 -1.7775
4.6084 -0.7585 0.7781
```

symmetry: I-4m2 (119)
energy above the most stable polymorph in this dataset: 0.103 eV per atom
N(E_F): 3.25 states/eV/cell
formation energy from the elements: 0.321 eV per atom



Entry 10:
Er2ScZn2Pd5 | GGA-PBE | relaxed Values from VASP.

The structure in Quantum ESPRESSO input format:
```
&SYSTEM
  ibrav = 0, nat = 20, ntyp = 4
/
ATOMIC_SPECIES
Er 167.26 Er.upf
Sc 44.96 Sc.upf
Zn 65.41 Zn.upf
Pd 106.42 Pd.upf
ATOMIC_POSITIONS crystal
Er 0.0000 0.6750 0.1750
Er 0.0000 0.3250 0.8250
Er 0.0000 0.1750 0.3250
Er 0.0000 0.8250 0.6750
Sc 0.0000 0.0000 0.0000
Sc 0.0000 0.5000 0.5000
Zn 0.0000 0.1214 0.6214
Zn 0.0000 0.8786 0.3786
Zn 0.0000 0.6214 0.8786
Zn 0.0000 0.3786 0.1214
Pd 0.5000 0.2058 0.0683
Pd 0.5000 0.7942 0.9317
Pd 0.5000 0.0683 0.7942
Pd 0.5000 0.7058 0.4317
Pd 0.5000 0.9317 0.2058
Pd 0.5000 0.2942 0.5683
Pd 0.5000 0.5683 0.7058
Pd 0.5000 0.4317 0.2942
Pd 0.5000 0.5000 0.0000
Pd 0.5000 0.0000 0.5000
CELL_PARAMETERS angstrom
3.8145 0.0000 0.0000
0.0000 9.7108 0.0000
0.0000 0.0000 9.7108
```

symmetry: P4/mbm (127)
N(E_F): 7.75 states/eV/cell
formation energy from the elements: -0.787 eV per atom



Entry 11:
NaSiB | GGA-PBE | relaxed Values from VASP.

The structure in Quantum ESPRESSO input format:
```
&SYSTEM
  ibrav = 0, nat = 6, ntyp = 3
/
ATOMIC_SPECIES
Na 22.99 Na.upf
Si 28.09 Si.upf
B 10.81 B.upf
ATOMIC_POSITIONS crystal
Na 0.1600 0.8400 0.2500
Na 0.8400 0.1600 0.7500
Si 0.6456 0.3544 0.2500
Si 0.3544 0.6456 0.7500
B 0.5000 0.5000 0.0000
B 0.5000 0.5000 0.5000
CELL_PARAMETERS angstrom
2.9303 -5.6694 0.0000
2.9303 5.6694 0.0000
0.0000 0.0000 4.0430
```

uncorrected formation energy: 12.52 kcal/mol of atoms
symmetry: Cmcm (63)
N(E_F): 1.22 states/eV/cell



Entry 12:
BaTa3Al | GGA-PBE | relaxed Values from VASP.

The structure in Quantum ESPRESSO input format:
```
&SYSTEM
  ibrav = 0, nat = 5, ntyp = 3
/
ATOMIC_SPECIES
Al 26.98 Al.upf
Ba 137.33 Ba.upf
Ta 180.95 Ta.upf
ATOMIC_POSITIONS crystal
Al 0.0000 0.0000 0.0000
Ba 0.5000 0.5000 0.5000
Ta 0.0000 0.5000 0.0000
Ta 0.0000 0.0000 0.5000
Ta 0.5000 0.0000 0.0000
CELL_PARAMETERS angstrom
4.9895 0.0000 0.0000
0.0000 4.9895 0.0000
0.0000 0.0000 4.9895
```

symmetry: Pm-3m (221)
energy above the most stable polymorph in this dataset: 0.000 eV per atom
N(E_F): 8.25 states/eV/cell
formation energy from the elements: 1.468 eV per atom



Question: Which of these has the lowest N(E_F)?
Answer: NaSiB



Question: Among the records above, which one has the lowest N(E_F)?
Answer: NaSiB



Question: Which of these has the highest N(E_F)?
Answer: Ce9Pu2Cd3



Question: Which of these has the lowest N(E_F)?
Answer: NaSiB